Entry 1:
First-principles (SCAN) data for LiCa4W at its PBEsol-relaxed geometry, as listed in Alexandria.

CIF file:
```
data_LiCa4W
_chemical_formula_sum 'Li1 Ca4 W1'
_space_group_name_H-M_alt 'P 1'
_space_group_IT_number 1
_space_group_name_Hall 'P 1'
_cell_length_a 6.4423
_cell_length_b 6.4423
_cell_length_c 6.4423
_cell_angle_alpha 60.00
_cell_angle_beta 60.00
_cell_angle_gamma 60.00
loop_
_atom_site_label
_atom_site_fract_x
_atom_site_fract_y
_atom_site_fract_z
Ca1 0.3742 0.3742 0.3742
Ca2 0.3742 0.3742 0.8775
Ca3 0.8775 0.3742 0.3742
Ca4 0.3742 0.8775 0.3742
Li1 0.7500 0.7500 0.7500
W1 0.0000 0.0000 0.0000
```

Output
E_form	6.93	eV per formula unit
total magnetization	4.9	Bohr magnetons per cell
SG	F-43m
DOS at the Fermi energy	0.91	states/eV per atom



Entry 2:
First-principles (SCAN) data for LiCaY2 at its PBEsol-relaxed geometry, as listed in Alexandria.

CIF file:
```
data_LiCaY2
_chemical_formula_sum 'Li1 Ca1 Y2'
_space_group_name_H-M_alt 'P 1'
_space_group_IT_number 1
_space_group_name_Hall 'P 1'
_cell_length_a 3.6417
_cell_length_b 3.6417
_cell_length_c 8.9585
_cell_angle_alpha 90.00
_cell_angle_beta 90.00
_cell_angle_gamma 90.00
loop_
_atom_site_label
_atom_site_fract_x
_atom_site_fract_y
_atom_site_fract_z
Ca1 0.5000 0.5000 0.0000
Li1 0.5000 0.5000 0.5000
Y1 0.0000 0.0000 0.6999
Y2 0.0000 0.0000 0.3001
```

Output
E_form	0.59	eV per formula unit
total magnetization	1.3	Bohr magnetons per cell
SG	P4/mmm
DOS at the Fermi energy	1.02	states/eV per atom



Entry 3:
First-principles (SCAN) data for Li2CaY at its PBEsol-relaxed geometry, as listed in Alexandria.

CIF file:
```
data_Li2CaY
_chemical_formula_sum 'Li2 Ca1 Y1'
_space_group_name_H-M_alt 'P 1'
_space_group_IT_number 1
_space_group_name_Hall 'P 1'
_cell_length_a 3.6553
_cell_length_b 3.6553
_cell_length_c 8.1353
_cell_angle_alpha 90.00
_cell_angle_beta 90.00
_cell_angle_gamma 90.00
loop_
_atom_site_label
_atom_site_fract_x
_atom_site_fract_y
_atom_site_fract_z
Y1 0.0000 0.0000 0.4560
Ca1 0.5000 0.5000 0.7793
Li1 0.0000 0.0000 0.0531
Li2 0.5000 0.5000 0.2115
```

Output
E_form	0.34	eV per formula unit
total magnetization	0.4	Bohr magnetons per cell
SG	P4mm
DOS at the Fermi energy	0.86	states/eV per atom



Entry 4:
First-principles (SCAN) data for Li4CaY at its PBEsol-relaxed geometry, as listed in Alexandria.

CIF file:
```
data_Li4CaY
_chemical_formula_sum 'Li4 Ca1 Y1'
_space_group_name_H-M_alt 'P 1'
_space_group_IT_number 1
_space_group_name_Hall 'P 1'
_cell_length_a 5.9576
_cell_length_b 5.9576
_cell_length_c 5.9576
_cell_angle_alpha 60.00
_cell_angle_beta 60.00
_cell_angle_gamma 60.00
loop_
_atom_site_label
_atom_site_fract_x
_atom_site_fract_y
_atom_site_fract_z
Y1 0.7500 0.7500 0.7500
Ca1 0.0000 0.0000 0.0000
Li1 0.8735 0.3755 0.3755
Li2 0.3755 0.3755 0.3755
Li3 0.3755 0.3755 0.8735
Li4 0.3755 0.8735 0.3755
```

Output
E_form	0.45	eV per formula unit
total magnetization	1.6	Bohr magnetons per cell
SG	F-43m
DOS at the Fermi energy	0.56	states/eV per atom